YSc2NbC: optimized geometry, GGA-PBE.

Properties
Total moment   0.0000 μB per atom
SG   P4/mmm (123)
Calculated formation energy   -0.0560 eV/atom
Volume   19.738 Å³/atom

Cell: 4.689 4.689 4.488 Å, 90.00 90.00 90.00°
Element x y z (fractional)
C (0.000, 0.000, 0.000)
Y (0.500, 0.500, 0.500)
Sc (0.500, 0.000, 0.000)
Sc (0.000, 0.500, 0.000)
Nb (0.000, 0.000, 0.500)